Crystalline LiHgI3 at its relaxed geometry, computed with GGA-PBE.

Its raw formation energy is -302 meV/atom. Its energy above the most stable polymorph in this dataset is 0.3411 eV/atom. Its density of states at the Fermi level is 0.228 states/eV/atom.

It has space group Pm-3m (No. 221), with a = 5.978 Å, b = 5.978 Å, c = 5.978 Å, α = 90.00°, β = 90.00° and γ = 90.00°. The distinct sites, in fractional coordinates, are Li at (0.000, 0.000, 0.000), Hg at (0.500, 0.500, 0.500) and I at (0.000, 0.500, 0.500).